Record 1
Computed, not measured: a relaxed BaZr3 crystal at the PBE level of DFT.

It has space group Cmcm (No. 63), with a = 7.0554 Å, b = 11.4576 Å, c = 5.4099 Å, α = 90.00°, β = 90.00° and γ = 90.00°. The asymmetric unit holds Ba at (0.0000, 0.0942, 0.2500), Zr at (0.0000, 0.4134, 0.7500) and Zr at (0.2212, 0.3377, 0.2500).

As for the distance to the lowest polymorph of the same formula: 0.044 eV per atom.



Record 2
Computed, not measured: a relaxed GdCdSn2 crystal at the PBE level of DFT.

It has space group P4/mmm (No. 123), with a = 4.7589 Å, b = 4.7589 Å, c = 4.4487 Å, α = 90.00°, β = 90.00° and γ = 90.00°. The asymmetric unit holds Gd at (0.0000, 0.0000, 0.0000), Cd at (0.5000, 0.5000, 0.0000) and Sn at (0.0000, 0.5000, 0.5000).

The raw total energy is -3.861 eV/atom.



Record 3
Computed, not measured: a relaxed Y2ErCd3Cu2Ag crystal at the PBE level of DFT.

It has space group Amm2 (No. 38), with a = 3.8663 Å, b = 13.2460 Å, c = 7.6595 Å, α = 90.00°, β = 90.00° and γ = 90.00°. The asymmetric unit holds Y at (0.0000, 0.2050, 0.0000), Er at (0.0000, 0.0000, 0.6153), Cd at (0.5000, 0.0000, 0.9362), Cd at (0.5000, 0.1340, 0.3398), Cu at (0.5000, 0.1650, 0.7043) and Ag at (0.0000, 0.0000, 0.2061).

Its formation energy is -0.311 eV/atom.



Record 4
Computed, not measured: a relaxed Li2Cd2In2IrPt crystal at the PBE level of DFT.

It has space group P-4m2 (No. 115), with a = 4.6122 Å, b = 4.6122 Å, c = 6.5215 Å, α = 90.00°, β = 90.00° and γ = 90.00°. The asymmetric unit holds Li at (0.0000, 0.0000, 0.0000), Li at (0.5000, 0.5000, 0.5000), Cd at (0.0000, 0.5000, 0.7479), In at (0.0000, 0.5000, 0.2548), Ir at (0.0000, 0.0000, 0.5000) and Pt at (0.5000, 0.5000, 0.0000).

The raw total energy is -3.624 eV/atom.



Record 5
Computed, not measured: a relaxed TbLuFe crystal at the PBE level of DFT.

It has space group F-43m (No. 216), with a = 6.5391 Å, b = 6.5391 Å, c = 6.5391 Å, α = 90.00°, β = 90.00° and γ = 90.00°. The asymmetric unit holds Tb at (0.0000, 0.0000, 0.0000), Lu at (0.0000, 0.0000, 0.5000) and Fe at (0.2500, 0.2500, 0.7500).

Its formation energy is 0.186 eV/atom. As for the distance to the lowest polymorph of the same formula: 0.000 eV per atom.



Record 6
Computed, not measured: a relaxed Pr2ErMg3CdGa2 crystal at the PBE level of DFT.

It has space group Amm2 (No. 38), with a = 4.5685 Å, b = 12.8505 Å, c = 7.5551 Å, α = 90.00°, β = 90.00° and γ = 90.00°. The asymmetric unit holds Pr at (0.0000, 0.2137, 0.0000), Er at (0.0000, 0.0000, 0.3548), Mg at (0.5000, 0.0000, 0.0303), Mg at (0.5000, 0.1239, 0.6584), Cd at (0.0000, 0.0000, 0.7724) and Ga at (0.5000, 0.1619, 0.2867).

The raw total energy is -3.286 eV/atom.